(1)
Here is a relaxed structure of ZrAs2Au from Alexandria. Energies are from PBE-GGA.

Cell lengths 3.0696, 3.0696, 8.3988 Å; angles 90.00, 90.00, 90.00 degrees
Space group P4/mmm (No. 123)
Unique sites:
1 Zr 0.0000 0.0000 0.0000
2 As 0.5000 0.5000 0.2381
3 Au 0.0000 0.0000 0.5000

Crystal system: tetragonal
ΔH_f (0 K) (kcal/mol of atoms): -2.04


(2)
Here is a relaxed structure of Sr3In3Pd from Alexandria. Energies are from PBE-GGA.

Cell lengths 12.5405, 4.2838, 17.1828 Å; angles 90.00, 106.21, 90.00 degrees
Space group C2/m (No. 12)
Unique sites:
1 Sr 0.0126 0.0000 0.3879
2 Sr 0.1183 0.0000 0.9221
3 Sr 0.2400 0.0000 0.2412
4 In 0.0209 0.5000 0.2335
5 In 0.1045 0.5000 0.0792
6 In 0.1783 0.5000 0.5390
7 Pd 0.2052 0.5000 0.3755

Crystal system: monoclinic
ΔH_f (0 K) (kcal/mol of atoms): -11.68


(3)
Here is a relaxed structure of NaAgGe from Alexandria. Energies are from PBE-GGA.

Cell lengths 11.5702, 2.9561, 8.1459 Å; angles 90.00, 117.91, 90.00 degrees
Space group C2/m (No. 12)
Unique sites:
1 Na 0.1359 0.0000 0.2894
2 Ag 0.1232 0.5000 0.9453
3 Ge 0.1121 0.0000 0.6502

Crystal system: monoclinic
ΔH_f (0 K) (kcal/mol of atoms): 1.05


(4)
Here is a relaxed structure of Li7SiSn4 from Alexandria. Energies are from PBE-GGA.

Cell lengths 13.3149, 4.8628, 9.9337 Å; angles 90.00, 127.52, 90.00 degrees
Space group C2/m (No. 12)
Unique sites:
1 Li 0.0000 0.0000 0.0000
2 Li 0.0647 0.5000 0.3166
3 Li 0.1481 0.0000 0.5926
4 Li 0.2155 0.5000 0.8596
5 Si 0.0000 0.5000 0.0000
6 Sn 0.0686 0.0000 0.7952
7 Sn 0.2033 0.0000 0.3544

Crystal system: monoclinic
E_form (uncorrected) (eV per atom): -0.1210


(5)
Here is a relaxed structure of La2CdIr from Alexandria. Energies are from PBE-GGA.

Cell lengths 4.2598, 4.2598, 23.8986 Å; angles 90.00, 90.00, 120.00 degrees
Space group R3m (No. 160, hexagonal axes)
Unique sites:
1 La 0.0000 0.0000 0.0000
2 La 0.0000 0.0000 0.2057
3 Cd 0.0000 0.0000 0.4365
4 Ir 0.0000 0.0000 0.6015

Crystal system: trigonal
ΔH_f (0 K) (kcal/mol of atoms): -12.27


(6)
Here is a relaxed structure of PrDy3Ru2 from Alexandria. Energies are from PBE-GGA.

Cell lengths 3.4271, 3.4271, 12.5548 Å; angles 90.00, 90.00, 90.00 degrees
Space group P4/mmm (No. 123)
Unique sites:
1 Pr 0.0000 0.0000 0.0000
2 Dy 0.5000 0.5000 0.2332
3 Dy 0.5000 0.5000 0.5000
4 Ru 0.0000 0.0000 0.3591

Crystal system: tetragonal
ΔH_f (0 K) (kcal/mol of atoms): -6.40


(7)
Here is a relaxed structure of PrSmMgZn from Alexandria. Energies are from PBE-GGA.

Cell lengths 3.7261, 3.7261, 7.7869 Å; angles 90.00, 90.00, 90.00 degrees
Space group P4mm (No. 99)
Unique sites:
1 Pr 0.0000 0.0000 0.0000
2 Sm 0.0000 0.0000 0.5478
3 Mg 0.5000 0.5000 0.2804
4 Zn 0.5000 0.5000 0.7624

Crystal system: tetragonal
ΔH_f (0 K) (kcal/mol of atoms): -4.81


(8)
Here is a relaxed structure of Ca3Ce2Bi3 from Alexandria. Energies are from PBE-GGA.

Cell lengths 9.5601, 9.5601, 6.6294 Å; angles 90.00, 90.00, 120.00 degrees
Space group P6_3/mcm (No. 193)
Unique sites:
1 Ca 0.0000 0.2633 0.2500
2 Ce 0.3333 0.6667 0.0000
3 Bi 0.0000 0.3775 0.7500

Crystal system: hexagonal
ΔH_f (0 K) (kcal/mol of atoms): -16.50


(9)
Here is a relaxed structure of Sc3TlCd from Alexandria. Energies are from PBE-GGA.

Cell lengths 4.9650, 18.7894, 4.9653 Å; angles 90.00, 90.00, 90.00 degrees
Space group Cmcm (No. 63)
Unique sites:
1 Sc 0.0000 0.0542 0.2500
2 Sc 0.0000 0.2500 0.2500
3 Sc 0.0000 0.4462 0.2500
4 Tl 0.0000 0.1514 0.7500
5 Cd 0.0000 0.3508 0.7500

Crystal system: orthorhombic
ΔH_f (0 K) (kcal/mol of atoms): -5.30


(10)
Here is a relaxed structure of Ba3ThAs3 from Alexandria. Energies are from PBE-GGA.

Cell lengths 9.8463, 8.4309, 13.3812 Å; angles 90.00, 92.44, 90.00 degrees
Space group P2_1/c (No. 14)
Unique sites:
1 Ba 0.0776 0.1544 0.1489
2 Ba 0.3441 0.7345 0.8069
3 Ba 0.3914 0.2343 0.9269
4 Th 0.1647 0.6044 0.0722
5 As 0.1164 0.0332 0.3769
6 As 0.2771 0.5947 0.5314
7 As 0.3555 0.0880 0.6791

Crystal system: monoclinic
ΔH_f (0 K) (kcal/mol of atoms): -23.59


(11)
Here is a relaxed structure of CaMn2Al2 from Alexandria. Energies are from PBE-GGA.

Cell lengths 7.7160, 7.7160, 2.7978 Å; angles 90.00, 90.00, 90.00 degrees
Space group P4/mbm (No. 127)
Unique sites:
1 Ca 0.0000 0.0000 0.0000
2 Mn 0.1222 0.3778 0.0000
3 Al 0.1668 0.6668 0.5000

Crystal system: tetragonal
ΔH_f (0 K) (kcal/mol of atoms): -1.09


(12)
Here is a relaxed structure of HoBO3 from Alexandria. Energies are from PBE-GGA.

Cell lengths 11.3638, 6.5538, 8.8567 Å; angles 90.00, 90.00, 90.00 degrees
Space group Cmcm (No. 63)
Unique sites:
1 Ho 0.0000 0.0000 0.0000
2 Ho 0.1707 0.5000 0.0000
3 B 0.0000 0.4231 0.2500
4 B 0.1208 0.2136 0.7500
5 O 0.0000 0.1167 0.7500
6 O 0.0000 0.3148 0.1059
7 O 0.1094 0.4440 0.7500
8 O 0.1753 0.1584 0.6076

Crystal system: orthorhombic
E_form (uncorrected) (eV per atom): -3.1420


(13)
Here is a relaxed structure of Tb5PrTm6 from Alexandria. Energies are from PBE-GGA.

Cell lengths 6.1323, 10.6129, 11.6690 Å; angles 90.00, 100.04, 90.00 degrees
Space group C2/m (No. 12)
Unique sites:
1 Tb 0.0000 0.0000 0.0000
2 Tb 0.0000 0.1667 0.5000
3 Tb 0.0000 0.3332 0.0000
4 Pr 0.0000 0.5000 0.5000
5 Tm 0.2493 0.0000 0.7514
6 Tm 0.2497 0.1670 0.2485

Crystal system: monoclinic
ΔH_f (0 K) (kcal/mol of atoms): 0.48


(14)
Here is a relaxed structure of La2Dy5Y2 from Alexandria. Energies are from PBE-GGA.

Cell lengths 14.9818, 11.9748, 6.7360 Å; angles 90.00, 90.00, 90.00 degrees
Space group Ima2 (No. 46)
Unique sites:
1 La 0.0000 0.0000 0.0000
2 La 0.2500 0.0067 0.9143
3 Dy 0.0532 0.7407 0.3049
4 Dy 0.1419 0.2331 0.1100
5 Dy 0.2500 0.7440 0.1112
6 Y 0.1257 0.5034 0.9548

Crystal system: orthorhombic
ΔH_f (0 K) (kcal/mol of atoms): 4.61


(15)
Here is a relaxed structure of CeTlAuS3 from Alexandria. Energies are from PBE-GGA.

Cell lengths 8.7441, 4.0710, 9.5505 Å; angles 90.00, 107.83, 90.00 degrees
Space group P2_1/m (No. 11)
Unique sites:
1 Ce 0.1810 0.2500 0.1638
2 Tl 0.3076 0.7500 0.7951
3 Au 0.3842 0.7500 0.4638
4 S 0.0429 0.2500 0.8586
5 S 0.2364 0.2500 0.4639
6 S 0.3810 0.7500 0.1439

Crystal system: monoclinic
E_form (uncorrected) (eV per atom): -0.9777


(16)
Here is a relaxed structure of Li4PtRh from Alexandria. Energies are from PBE-GGA.

Cell lengths 5.6892, 5.6892, 5.1495 Å; angles 90.00, 90.00, 90.00 degrees
Space group I-4 (No. 82)
Unique sites:
1 Li 0.1461 0.2490 0.3765
2 Pt 0.0000 0.5000 0.7500
3 Rh 0.0000 0.0000 0.0000

Crystal system: tetragonal
ΔH_f (0 K) (kcal/mol of atoms): -3.84


(17)
Here is a relaxed structure of SbH4Pd5 from Alexandria. Energies are from PBE-GGA.

Cell lengths 5.6748, 7.6512, 5.5957 Å; angles 90.00, 90.00, 90.00 degrees
Space group Pmmn (No. 59, origin choice 2)
Unique sites:
1 Sb 0.2500 0.2500 0.1010
2 H 0.0047 0.2500 0.5757
3 H 0.2500 0.5674 0.8189
4 Pd 0.0061 0.5589 0.2399
5 Pd 0.2500 0.7500 0.6140

Crystal system: orthorhombic


(18)
Here is a relaxed structure of SrLaCe from Alexandria. Energies are from PBE-GGA.

Cell lengths 11.6626, 3.5450, 12.3392 Å; angles 90.00, 116.31, 90.00 degrees
Space group C2/m (No. 12)
Unique sites:
1 Sr 0.0796 0.0000 0.3951
2 La 0.2292 0.5000 0.2011
3 Ce 0.0996 0.5000 0.9380

Crystal system: monoclinic
ΔH_f (0 K) (kcal/mol of atoms): 5.97


(19)
Here is a relaxed structure of In2ReSb from Alexandria. Energies are from PBE-GGA.

Cell lengths 6.5457, 9.7267, 3.0431 Å; angles 90.00, 115.78, 90.00 degrees
Space group C2/m (No. 12)
Unique sites:
1 In 0.2500 0.2500 0.0000
2 Re 0.0000 0.0000 0.5000
3 Sb 0.0000 0.5000 0.5000

Crystal system: monoclinic
E_form (uncorrected) (eV per atom): 0.8176


(20)
Here is a relaxed structure of BC2 from Alexandria. Energies are from PBE-GGA.

Cell lengths 3.7047, 4.4568, 5.2049 Å; angles 102.10, 91.26, 113.05 degrees
Space group P1 (No. 1)
Unique sites:
1 B 0.0000 0.0000 0.0000
2 B 0.0031 0.9525 0.4200
3 B 0.3529 0.0234 0.6854
4 B 0.9595 0.3449 0.5697
5 C 0.3109 0.9832 0.2033
6 C 0.3584 0.6479 0.1252
7 C 0.3785 0.6591 0.6242
8 C 0.6021 0.6333 0.3706
9 C 0.6129 0.6628 0.8787
10 C 0.6965 0.3015 0.2883
11 C 0.7053 0.3520 0.8210
12 C 0.9508 0.3414 0.0530

Crystal system: triclinic
ΔH_f (0 K) (kcal/mol of atoms): 7.95


(21)
Here is a relaxed structure of Si3Sb from Alexandria. Energies are from PBE-GGA.

Cell lengths 6.6483, 6.6483, 6.6483 Å; angles 90.00, 90.00, 90.00 degrees
Space group Fm-3m (No. 225)
Unique sites:
1 Si 0.0000 0.0000 0.0000
2 Si 0.2500 0.2500 0.2500
3 Sb 0.0000 0.0000 0.5000

Crystal system: cubic
E_form (uncorrected) (eV per atom): 0.6116


no.,ρ (g/cm³),total energy (eV per atom)
1,9.191,-5.37
2,5.349,-3.14
3,5.490,-2.88
4,3.590,-3.02
5,7.726,-5.44
6,9.353,-6.47
7,5.851,-3.30
8,6.503,-4.41
9,6.477,-4.68
10,5.200,-4.90
11,4.066,-5.61
12,6.759,-8.37
13,8.656,-4.54
14,6.970,-4.89
15,6.544,-4.97
16,6.491,-3.67
17,8.993,-4.43
18,5.325,-3.92
19,10.234,-4.69
20,3.012,-8.03
21,4.657,-4.49